[1]
Compound: Dy2ScO
Source: Alexandria via LeMat-Bulk
Functional: PBE
Structure: optimized geometry

Raw total energy ... -6.4546 eV/atom
ΔE to the lowest computed polymorph ... 0.00 eV/f.u.
Space group ... R-3m, No. 166

extended XYZ file:
```
4
Lattice="-0.657 -0.710 -3.342 0.301 -3.260 -1.178 -8.164 -2.746 0.377" Properties=species:S:1:pos:R:3 pbc="T T T"
Sc -4.260 -3.358 -2.071
O 0.000 0.000 0.000
Dy -7.078 -5.158 -2.946
Dy -1.442 -1.557 -1.197
```

[2]
Compound: Dy3ScO
Source: Alexandria via LeMat-Bulk
Functional: PBE
Structure: optimized geometry

Raw total energy ... -6.1558 eV/atom
Space group ... Pm-3m, No. 221

extended XYZ file:
```
5
Lattice="-1.772 0.203 -4.516 -0.482 -4.832 -0.029 -4.495 0.438 1.783" Properties=species:S:1:pos:R:3 pbc="T T T"
Sc -3.374 -2.095 -1.381
O 0.000 0.000 0.000
Dy -0.241 -2.416 -0.014
Dy -2.248 0.219 0.892
Dy -0.886 0.102 -2.258
```

[3]
Compound: DyScSe2O
Source: Alexandria via LeMat-Bulk
Functional: PBE
Structure: optimized geometry

Raw total energy ... -6.9199 eV/atom
Space group ... P4/nmm, No. 129

extended XYZ file:
```
10
Lattice="-2.592 1.755 2.281 2.198 -0.776 3.094 6.694 12.114 -1.716" Properties=species:S:1:pos:R:3 pbc="T T T"
Dy 2.595 7.919 0.143
Dy 3.902 4.685 0.828
Sc -0.495 2.327 0.935
Sc 6.992 10.277 0.036
Se 5.798 8.117 0.342
Se 1.694 0.689 1.394
Se 4.803 11.915 -0.423
Se 0.699 4.487 0.629
O 3.347 6.057 -0.858
O 3.150 6.547 1.829
```

[4]
Compound: Dy2Sc4Si3O2
Source: Alexandria via LeMat-Bulk
Functional: PBE
Structure: optimized geometry

Raw total energy ... -7.1048 eV/atom
Space group ... I4/mmm, No. 139

extended XYZ file:
```
11
Lattice="4.255 0.000 0.000 0.000 4.255 0.000 -2.127 -2.127 11.383" Properties=species:S:1:pos:R:3 pbc="T T T"
Dy 0.000 0.000 6.932
Dy 2.127 2.127 4.450
Sc 0.000 2.127 9.593
Sc 2.127 0.000 9.593
Sc 0.000 2.127 1.790
Sc 2.127 0.000 1.790
Si 0.000 0.000 0.000
Si 0.000 0.000 3.894
Si 2.127 2.127 7.488
O 0.000 0.000 9.335
O 2.127 2.127 2.047
```